Material: VZn3Co4
Method: DFT, PBE
State: relaxed

Cell and atoms, written as extended XYZ:
```
8
Lattice="3.8943 0.0000 -1.0512 -0.2794 3.8886 -1.0350 -0.3571 -0.4086 6.4163" Properties=species:S:1:pos:R:3 pbc="T T T"
Zn -0.1397 1.9443 -0.5175
Zn 2.6734 0.7690 2.1648
Zn 0.5845 2.7110 2.1653
Co 1.0969 1.1613 4.0634
Co 2.1610 2.3187 0.2666
Co 0.3535 0.3745 1.3097
Co 2.9043 3.1056 3.0203
V 1.9472 0.0000 -0.5256
```

Results
Its space group is I4/mmm, No. 139. The calculation puts the density of states at the Fermi level at 5.9 states/eV/f.u. As for the uncorrected energy: -5.2652 eV per atom. The energy relative to the elements comes out at -73 kJ/mol of formula units.

Material: VZnCo
Method: DFT, PBE
State: relaxed

Cell and atoms, written as extended XYZ:
```
3
Lattice="-1.2120 -2.0791 -0.8618 3.5259 -2.0804 0.0601 -2.4127 0.0354 3.3078" Properties=species:S:1:pos:R:3 pbc="T T T"
Zn -0.8757 -1.4290 1.9105
Co 0.6993 -2.8283 0.5403
V -1.1343 -1.9459 -0.8066
```

Results
The value obtained for the polymorph energy (0 for the lowest one) is 127 meV/atom. Its space group is P3m1, No. 156. The calculation puts the density of states at the Fermi level at 3.8 states/eV/f.u. As for the uncorrected energy: -5.8613 eV per atom. The energy relative to the elements comes out at -8 kJ/mol of formula units.

Material: VZn2Co2
Method: DFT, PBE
State: relaxed

Cell and atoms, written as extended XYZ:
```
10
Lattice="3.9465 0.0064 0.0012 0.0108 6.8214 -0.5057 -1.9766 -3.0490 5.2553" Properties=species:S:1:pos:R:3 pbc="T T T"
V 2.9680 5.1209 -0.3783
V -0.9873 -1.3420 5.1291
Zn 0.9888 -0.4321 1.8853
Zn -0.9868 0.7971 3.1178
Zn 0.9920 4.2109 2.8655
Zn 2.9676 2.9818 1.6330
Co 2.9609 0.6214 0.6091
Co 0.9931 4.0288 0.3554
Co -0.9801 3.1575 4.1416
Co 0.9877 -0.2500 4.3954
```

Results
The value obtained for the polymorph energy (0 for the lowest one) is 0 meV/atom. Its space group is C2/m, No. 12. The calculation puts the density of states at the Fermi level at 4.8 states/eV/f.u. As for the uncorrected energy: -5.1228 eV per atom. The energy relative to the elements comes out at 26 kJ/mol of formula units.

Material: VZnCo6
Method: DFT, PBE
State: relaxed

Cell and atoms, written as extended XYZ:
```
32
Lattice="6.1633 0.2894 0.0000 -2.3185 5.7179 0.0000 0.0000 0.0000 10.0841" Properties=species:S:1:pos:R:3 pbc="T T T"
V 4.0878 1.6178 7.5631
V -0.2430 4.3896 7.5631
V 0.0000 0.0000 5.0526
V 0.0000 0.0000 10.0736
Zn 4.0474 1.6437 2.5210
Zn -0.2026 4.3637 2.5210
Zn 1.9224 3.0037 5.0579
Zn 1.9224 3.0037 10.0684
Co 4.0596 1.6358 5.0720
Co 1.8306 5.1897 3.7973
Co 2.0141 0.8177 3.7973
Co -0.2148 4.3715 5.0720
Co -0.1011 2.1714 3.7973
Co 3.9459 3.8359 3.7973
Co 1.9224 3.0037 7.5631
Co 2.0181 0.8067 6.3216
Co -0.1127 2.1705 6.3216
Co 4.0596 1.6358 10.0543
Co 1.8267 5.2006 8.8047
Co 2.0181 0.8067 8.8047
Co -0.2148 4.3715 10.0543
Co -0.1127 2.1705 8.8047
Co 3.9575 3.8369 8.8047
Co 1.9224 3.0037 2.5210
Co 2.0141 0.8177 1.2448
Co -0.1011 2.1714 1.2448
Co 0.0000 0.0000 7.5631
Co 3.9575 3.8369 6.3216
Co 1.8267 5.2006 6.3216
Co 0.0000 0.0000 2.5210
Co 3.9459 3.8359 1.2448
Co 1.8306 5.1897 1.2448
```

Results
Its space group is Cmmm, No. 65. The calculation puts the density of states at the Fermi level at 10.7 states/eV/f.u. As for the uncorrected energy: -6.6657 eV per atom. The energy relative to the elements comes out at -29 kJ/mol of formula units.

Material: V5ZnCo6
Method: DFT, PBE
State: relaxed

Cell and atoms, written as extended XYZ:
```
12
Lattice="-1.3262 3.4100 1.8274 0.4179 1.4144 -6.9138 -4.1196 -5.2750 2.2758" Properties=species:S:1:pos:R:3 pbc="T T T"
Zn 0.0000 0.0000 0.0000
Co -2.0440 -1.2455 0.8399
Co -4.5181 -1.4671 -0.5431
Co -1.9748 1.5885 0.1813
Co -3.0530 -2.0392 -2.9919
Co -0.5097 1.0165 -2.2675
Co -2.9838 0.7949 -3.6505
V -4.0380 -2.4722 1.6814
V -3.9406 0.3539 1.0549
V -2.5139 -0.2253 -1.4053
V -1.0872 -0.8045 -3.8656
V -0.9898 2.0216 -4.4920
```

Results
Its space group is Immm, No. 71. The calculation puts the density of states at the Fermi level at 12.5 states/eV/f.u. As for the uncorrected energy: -7.5461 eV per atom. The energy relative to the elements comes out at -101 kJ/mol of formula units.

Material: Zr2V2ZnCo5
Method: DFT, PBE
State: relaxed

Cell and atoms, written as extended XYZ:
```
20
Lattice="3.3821 0.0000 0.0000 0.0000 9.1174 0.0000 0.0000 0.0000 9.1174" Properties=species:S:1:pos:R:3 pbc="T T T"
Zr 0.0000 6.1836 1.6249
Zr 0.0000 2.9337 7.4924
Zr 0.0000 1.6249 2.9337
Zr 0.0000 7.4924 6.1836
V 0.0000 1.1132 5.6719
V 0.0000 8.0041 3.4455
V 0.0000 5.6719 8.0041
V 0.0000 3.4455 1.1132
Zn 0.0000 0.0000 0.0000
Zn 0.0000 4.5587 4.5587
Co 1.6911 1.9192 0.5134
Co 1.6911 7.1981 8.6040
Co 1.6911 0.5134 7.1981
Co 1.6911 6.4779 4.0453
Co 1.6911 8.6040 1.9192
Co 1.6911 2.6394 5.0720
Co 1.6911 5.0720 6.4779
Co 1.6911 4.0453 2.6394
Co 1.6911 4.5587 0.0000
Co 1.6911 0.0000 4.5587
```

Results
Its space group is P4/mbm, No. 127. The calculation puts the density of states at the Fermi level at 10.9 states/eV/f.u. As for the uncorrected energy: -7.2283 eV per atom. The energy relative to the elements comes out at -14 kJ/mol of formula units.

Material: ZrVCo4
Method: DFT, PBE
State: relaxed

Cell and atoms, written as extended XYZ:
```
6
Lattice="4.7782 0.0000 0.0000 2.3891 4.1381 0.0000 2.3891 1.3794 3.9014" Properties=species:S:1:pos:R:3 pbc="T T T"
Co 4.7782 2.7587 0.4953
Co 4.7782 1.3865 2.4358
Co 5.9666 3.4448 2.4358
Co 3.5899 3.4448 2.4358
Zr 0.0000 0.0000 0.0000
V 2.3891 1.3794 0.9754
```

Results
The value obtained for the polymorph energy (0 for the lowest one) is 0 meV/atom. Its space group is F-43m, No. 216. The calculation puts the density of states at the Fermi level at 9.5 states/eV/f.u. As for the uncorrected energy: -7.8293 eV per atom. The energy relative to the elements comes out at -85 kJ/mol of formula units.

Material: ZrVCo2
Method: DFT, PBE
State: relaxed

Cell and atoms, written as extended XYZ:
```
16
Lattice="-2.6411 -2.9962 -1.2314 4.0001 -1.8713 -4.0260 3.5484 -5.6576 6.1553" Properties=species:S:1:pos:R:3 pbc="T T T"
Zr 2.1038 -5.4906 -1.7923
Zr -0.4877 -3.6118 -0.8053
Zr 2.8037 -5.0345 2.6901
Zr 5.3952 -6.9133 1.7031
V 0.9211 -3.0161 1.8167
V 3.9864 -7.5090 -0.9189
V 1.9839 -2.4575 -1.8220
V 2.9235 -8.0676 2.7198
Co 1.1166 -3.8836 -3.5849
Co 3.7909 -6.6415 4.4828
Co 0.5580 -5.2462 0.9285
Co 4.3494 -5.2789 -0.0306
Co 1.2895 -7.2495 4.2340
Co 2.4599 -3.6824 0.1374
Co 2.4475 -6.8427 0.7604
Co 3.6180 -3.2756 -3.3362
```

Results
The value obtained for the polymorph energy (0 for the lowest one) is 0 meV/atom. Its space group is Pnma, No. 62. The calculation puts the density of states at the Fermi level at 3.4 states/eV/f.u. As for the uncorrected energy: -8.1716 eV per atom. The energy relative to the elements comes out at -78 kJ/mol of formula units.

Material: ZrVCo
Method: DFT, PBE
State: relaxed

Cell and atoms, written as extended XYZ:
```
12
Lattice="4.9653 0.0018 0.0000 -2.3228 4.3885 0.0000 0.0000 0.0000 8.3670" Properties=species:S:1:pos:R:3 pbc="T T T"
Zr 2.5807 1.4371 2.6676
Zr 0.1312 2.9115 1.6539
Zr 0.1312 2.9115 6.7130
Zr 2.5807 1.4371 5.6994
V -1.2335 3.7328 4.1835
V 1.3114 0.7187 0.0000
V 2.6214 2.8950 0.0000
V 3.7353 0.7421 0.0000
Co -2.2883 4.3678 2.1150
Co -2.2883 4.3678 6.2520
Co 1.2939 3.6758 4.1835
Co 0.0000 1.5262 4.1835
```

Results
The value obtained for the polymorph energy (0 for the lowest one) is 21 meV/atom. Its space group is Amm2, No. 38. The calculation puts the density of states at the Fermi level at 3.2 states/eV/f.u. As for the uncorrected energy: -8.4789 eV per atom. The energy relative to the elements comes out at -64 kJ/mol of formula units.

Material: Zr2VCo
Method: DFT, PBE
State: relaxed

Cell and atoms, written as extended XYZ:
```
4
Lattice="4.6135 0.0000 0.0000 2.3067 3.9954 0.0000 2.3067 1.3318 3.7669" Properties=species:S:1:pos:R:3 pbc="T T T"
Co 4.6135 2.6636 1.8834
Zr 2.3067 1.3318 0.9417
Zr 6.9202 3.9954 2.8252
V 0.0000 0.0000 0.0000
```

Results
The value obtained for the polymorph energy (0 for the lowest one) is 51 meV/atom. Its space group is Fm-3m, No. 225. The calculation puts the density of states at the Fermi level at 4.5 states/eV/f.u. As for the uncorrected energy: -8.3413 eV per atom. The energy relative to the elements comes out at -4 kJ/mol of formula units.

Material: ZrVCo2
Method: DFT, PBE
State: relaxed

Cell and atoms, written as extended XYZ:
```
4
Lattice="-3.0045 -0.4291 -3.0869 0.4577 -3.0277 -3.0600 -2.5985 -3.4623 -0.0250" Properties=species:S:1:pos:R:3 pbc="T T T"
Co -1.2863 -1.7298 -1.5430
Co -3.8589 -5.1894 -4.6289
Zr 0.0000 0.0000 0.0000
V -2.5726 -3.4596 -3.0859
```

Results
The value obtained for the polymorph energy (0 for the lowest one) is 111 meV/atom. Its space group is Fm-3m, No. 225. The calculation puts the density of states at the Fermi level at 5.2 states/eV/f.u. As for the uncorrected energy: -8.0602 eV per atom. The energy relative to the elements comes out at -35 kJ/mol of formula units.

Material: Zr3VCo8
Method: DFT, PBE
State: relaxed

Cell and atoms, written as extended XYZ:
```
12
Lattice="-4.3566 -1.4982 1.4651 -0.9328 -4.7294 0.3662 0.7314 -1.9863 8.1199" Properties=species:S:1:pos:R:3 pbc="T T T"
Zr -3.2039 -4.1401 2.1912
Zr 0.6852 -1.9880 7.9807
Zr -2.2445 -4.1057 5.0794
V -0.2283 -2.0208 5.2308
Co -1.9227 -2.7522 7.4203
Co -0.5561 -3.3682 2.8782
Co -2.3892 -5.1174 7.6034
Co -0.0918 -1.0141 2.6959
Co -3.8820 -6.1771 6.0680
Co -1.6043 -2.0701 1.0885
Co -0.2105 -4.3682 6.8707
Co -2.2604 -1.7598 3.4252
```

Results
Its space group is R3m, No. 160. The calculation puts the density of states at the Fermi level at 17.3 states/eV/f.u. As for the uncorrected energy: -7.8666 eV per atom. The energy relative to the elements comes out at -269 kJ/mol of formula units.